No. 1
Compound: HfZrFeSb2
Source: the Alexandria database
Functional: PBE
Structure: optimized geometry

The space group is P4/mmm, No. 123. The calculation puts the density at 6178 kg/m3. The raw formation energy is 566 kJ/mol of formula units.

abc: 5.415 5.216 5.415
angles: 90.00 90.00 90.00
Each line ends with the local moment (μB).
Sites, in units of the cell vectors:
Sb  0.000  0.000  0.500  -0.01
Sb  0.500  0.000  0.000  -0.01
Hf  0.000  0.500  0.000  -0.17
Fe  0.500  0.500  0.500  3.25
Zr  0.000  0.000  0.000  0.03

---

No. 2
Compound: HfSc2Fe9
Source: the Alexandria database
Functional: PBE
Structure: optimized geometry

The space group is R-3m, No. 166. The calculation puts the density at 7852 kg/m3. The formation energy is -0.19 eV per atom.

abc: 4.872 4.872 8.416
angles: 73.18 73.18 60.00
Each line ends with the local moment (μB).
Sites, in units of the cell vectors:
Fe  0.333  0.333  0.000  2.00
Fe  0.585  0.585  0.750  1.86
Fe  0.667  0.667  0.000  2.00
Fe  0.415  0.919  0.250  1.86
Fe  0.919  0.415  0.250  1.86
Fe  0.415  0.415  0.250  1.86
Fe  0.081  0.585  0.750  1.86
Fe  0.585  0.081  0.750  1.86
Fe  0.500  0.500  0.500  1.73
Sc  0.143  0.143  0.572  -0.40
Sc  0.857  0.857  0.428  -0.40
Hf  0.000  0.000  0.000  -0.40

---

No. 3
Compound: Hf3ScFe
Source: the Alexandria database
Functional: PBE
Structure: optimized geometry

The space group is Pm-3m, No. 221. The excess energy over the best structure of this formula in the dataset is 8.880 eV per formula unit. The calculation puts the density at 9199 kg/m3. The formation energy is 1.78 eV per atom.

abc: 4.861 4.861 4.861
angles: 90.00 90.00 90.00
Sites, in units of the cell vectors:
Sc  0.000  0.000  0.000
Hf  0.500  0.000  0.000
Hf  0.000  0.500  0.000
Hf  0.000  0.000  0.500
Fe  0.500  0.500  0.500

---

No. 4
Compound: Hf2ScFe2
Source: the Alexandria database
Functional: PBE
Structure: optimized geometry

The space group is P4/mbm, No. 127. The calculation puts the density at 9924 kg/m3. The formation energy is -0.11 eV per atom.

abc: 7.336 7.336 3.194
angles: 90.00 90.00 90.00
Sites, in units of the cell vectors:
Fe  0.141  0.359  0.000
Fe  0.641  0.141  0.000
Fe  0.859  0.641  0.000
Fe  0.359  0.859  0.000
Hf  0.152  0.652  0.500
Hf  0.348  0.152  0.500
Hf  0.652  0.848  0.500
Hf  0.848  0.348  0.500
Sc  0.000  0.000  0.000
Sc  0.500  0.500  0.000

---

No. 5
Compound: Hf3ScFe
Source: the Alexandria database
Functional: PBE
Structure: optimized geometry

The space group is C2/m, No. 12. The excess energy over the best structure of this formula in the dataset is 0.000 eV per formula unit. The calculation puts the density at 9973 kg/m3. The formation energy is 0.00 eV per atom.

abc: 6.535 6.535 6.494
angles: 105.67 113.32 109.77
Sites, in units of the cell vectors:
Hf  0.296  0.560  0.856
Hf  0.161  0.924  0.687
Hf  0.839  0.076  0.313
Hf  0.704  0.440  0.144
Hf  0.237  0.474  0.313
Hf  0.763  0.526  0.687
Fe  0.359  0.258  0.617
Fe  0.641  0.742  0.383
Sc  0.279  0.955  0.233
Sc  0.721  0.045  0.767

---

No. 6
Compound: Hf5ScFe4
Source: the Alexandria database
Functional: PBE
Structure: optimized geometry

The space group is P4/mmm, No. 123. The calculation puts the density at 11314 kg/m3. The formation energy is -0.21 eV per atom.

abc: 3.141 3.141 17.267
angles: 90.00 90.00 90.00
Each line ends with the local moment (μB).
Sites, in units of the cell vectors:
Hf  0.500  0.500  0.318  -0.12
Hf  0.500  0.500  0.137  0.18
Hf  0.500  0.500  0.863  0.18
Hf  0.500  0.500  0.682  -0.12
Hf  0.500  0.500  0.500  -0.05
Fe  0.000  0.000  0.409  0.11
Fe  0.000  0.000  0.591  0.11
Fe  0.000  0.000  0.226  0.73
Fe  0.000  0.000  0.774  0.73
Sc  0.000  0.000  0.000  0.49

---

No. 7
Compound: Hf2Sc2Fe
Source: the Alexandria database
Functional: PBE
Structure: optimized geometry

The space group is P4/mbm, No. 127. The calculation puts the density at 7945 kg/m3. The formation energy is 0.10 eV per atom.

abc: 6.427 6.427 5.087
angles: 90.00 90.00 90.00
Sites, in units of the cell vectors:
Sc  0.166  0.666  0.500
Sc  0.666  0.834  0.500
Sc  0.334  0.166  0.500
Sc  0.834  0.334  0.500
Hf  0.157  0.343  0.000
Hf  0.343  0.843  0.000
Hf  0.843  0.657  0.000
Hf  0.657  0.157  0.000
Fe  0.500  0.500  0.000
Fe  0.000  0.000  0.000

---

No. 8
Compound: Hf2ScFe9
Source: the Alexandria database
Functional: PBE
Structure: optimized geometry

The space group is R-3m, No. 166. The calculation puts the density at 9105 kg/m3. The formation energy is -0.23 eV per atom.

abc: 4.910 4.910 8.395
angles: 73.00 73.00 60.00
Each line ends with the local moment (μB).
Sites, in units of the cell vectors:
Fe  0.919  0.414  0.252  1.91
Fe  0.414  0.414  0.252  1.91
Fe  0.081  0.586  0.748  1.91
Fe  0.333  0.333  0.000  2.22
Fe  0.586  0.586  0.748  1.91
Fe  0.667  0.667  0.000  2.22
Fe  0.414  0.919  0.252  1.91
Fe  0.500  0.500  0.500  1.77
Fe  0.586  0.081  0.748  1.91
Sc  0.000  0.000  0.000  -0.29
Hf  0.142  0.142  0.574  -0.48
Hf  0.858  0.858  0.426  -0.48

---

No. 9
Compound: HfSc2Fe2
Source: the Alexandria database
Functional: PBE
Structure: optimized geometry

The space group is P4/mbm, No. 127. The excess energy over the best structure of this formula in the dataset is 0.965 eV per formula unit. The calculation puts the density at 7334 kg/m3. The formation energy is 0.19 eV per atom.

abc: 7.690 7.690 2.910
angles: 90.00 90.00 90.00
Each line ends with the local moment (μB).
Sites, in units of the cell vectors:
Sc  0.871  0.629  0.000  -0.21
Sc  0.371  0.871  0.000  -0.21
Sc  0.629  0.129  0.000  -0.21
Sc  0.129  0.371  0.000  -0.21
Fe  0.679  0.821  0.500  1.56
Fe  0.179  0.679  0.500  1.58
Fe  0.821  0.321  0.500  1.58
Fe  0.321  0.179  0.500  1.56
Hf  0.000  0.000  0.000  -0.31
Hf  0.500  0.500  0.000  -0.31

---

No. 10
Compound: Hf3ScFe4
Source: the Alexandria database
Functional: PBE
Structure: optimized geometry

The space group is R-3m, No. 166. The calculation puts the density at 10946 kg/m3. The formation energy is -0.28 eV per atom.

abc: 4.416 4.416 7.656
angles: 73.24 73.24 60.00
Sites, in units of the cell vectors:
Fe  0.874  0.874  0.379
Fe  0.126  0.126  0.621
Fe  0.376  0.376  0.871
Fe  0.624  0.624  0.129
Sc  0.000  0.000  0.000
Hf  0.500  0.500  0.500
Hf  0.749  0.749  0.754
Hf  0.251  0.251  0.246

---

No. 11
Compound: Hf5ScFe6
Source: the Alexandria database
Functional: PBE
Structure: optimized geometry

The space group is C2/m, No. 12. The calculation puts the density at 11501 kg/m3. The formation energy is -0.30 eV per atom.

abc: 4.427 6.256 7.657
angles: 114.11 106.71 90.00
Sites, in units of the cell vectors:
Sc  0.000  0.000  0.000
Hf  0.000  0.500  0.000
Hf  0.333  0.333  0.666
Hf  0.335  0.835  0.671
Hf  0.667  0.667  0.334
Hf  0.665  0.165  0.329
Fe  0.500  0.254  0.000
Fe  0.832  0.580  0.663
Fe  0.832  0.084  0.663
Fe  0.500  0.746  0.000
Fe  0.168  0.420  0.337
Fe  0.168  0.916  0.337

---

No. 12
Compound: HfScFe4
Source: the Alexandria database
Functional: PBE
Structure: optimized geometry

The space group is F-43m, No. 216. The calculation puts the density at 8735 kg/m3. The formation energy is -0.32 eV per atom.

abc: 4.934 4.934 4.934
angles: 60.00 60.00 60.00
Each line ends with the local moment (μB).
Sites, in units of the cell vectors:
Hf  0.250  0.250  0.250  -0.55
Fe  0.625  0.625  0.125  1.92
Fe  0.125  0.625  0.625  1.92
Fe  0.625  0.125  0.625  1.92
Fe  0.625  0.625  0.625  1.92
Sc  0.000  0.000  0.000  -0.41

---

No. 13
Compound: Hf3ScFe
Source: the Alexandria database
Functional: PBE
Structure: optimized geometry

The space group is Pm-3m, No. 221. The excess energy over the best structure of this formula in the dataset is 1.033 eV per formula unit. The calculation puts the density at 9425 kg/m3. The formation energy is 0.21 eV per atom.

abc: 4.822 4.822 4.822
angles: 90.00 90.00 90.00
Sites, in units of the cell vectors:
Fe  0.000  0.000  0.000
Hf  0.000  0.500  0.000
Hf  0.000  0.000  0.500
Hf  0.500  0.000  0.000
Sc  0.500  0.500  0.500

---

No. 14
Compound: HfSc2Fe2
Source: the Alexandria database
Functional: PBE
Structure: optimized geometry

The space group is P4/mbm, No. 127. The excess energy over the best structure of this formula in the dataset is 0.000 eV per formula unit. The calculation puts the density at 7388 kg/m3. The formation energy is 0.00 eV per atom.

abc: 7.177 7.177 3.317
angles: 90.00 90.00 90.00
Sites, in units of the cell vectors:
Fe  0.152  0.348  0.000
Fe  0.848  0.652  0.000
Fe  0.348  0.848  0.000
Fe  0.652  0.152  0.000
Sc  0.650  0.850  0.500
Sc  0.850  0.350  0.500
Sc  0.350  0.150  0.500
Sc  0.150  0.650  0.500
Hf  0.000  0.000  0.000
Hf  0.500  0.500  0.000

---

No. 15
Compound: HfScFe3
Source: the Alexandria database
Functional: PBE
Structure: optimized geometry

The space group is Pm-3m, No. 221. The excess energy over the best structure of this formula in the dataset is 0.000 eV per formula unit. The calculation puts the density at 7714 kg/m3. The formation energy is 1.04 eV per atom.

abc: 4.382 4.382 4.382
angles: 90.00 90.00 90.00
Each line ends with the local moment (μB).
Sites, in units of the cell vectors:
Sc  0.000  0.000  0.000  -0.34
Fe  0.000  0.000  0.500  1.72
Fe  0.000  0.500  0.000  1.95
Fe  0.500  0.000  0.000  1.95
Hf  0.500  0.500  0.500  -0.45

---

No. 16
Compound: Hf4ScFe5
Source: the Alexandria database
Functional: PBE
Structure: optimized geometry

The space group is P4/mmm, No. 123. The calculation puts the density at 11239 kg/m3. The formation energy is -0.29 eV per atom.

abc: 3.129 3.129 15.669
angles: 90.00 90.00 90.00
Sites, in units of the cell vectors:
Hf  0.000  0.000  0.802
Hf  0.000  0.000  0.601
Hf  0.000  0.000  0.399
Hf  0.000  0.000  0.198
Fe  0.500  0.500  0.500
Fe  0.500  0.500  0.895
Fe  0.500  0.500  0.698
Fe  0.500  0.500  0.105
Fe  0.500  0.500  0.302
Sc  0.000  0.000  0.000

---

No. 17
Compound: HfSc2Fe2
Source: the Alexandria database
Functional: PBE
Structure: optimized geometry

The space group is I4/mmm, No. 139. The excess energy over the best structure of this formula in the dataset is 2.214 eV per formula unit. The calculation puts the density at 7177 kg/m3. The formation energy is 0.44 eV per atom.

abc: 4.388 4.388 5.522
angles: 66.59 66.59 90.00
Sites, in units of the cell vectors:
Sc  0.645  0.645  0.710
Sc  0.355  0.355  0.290
Fe  0.250  0.750  0.500
Fe  0.750  0.250  0.500
Hf  0.000  0.000  0.000

---

No. 18
Compound: HfScFeSi2
Source: the Alexandria database
Functional: PBE
Structure: optimized geometry

The space group is P4/mmm, No. 123. The calculation puts the density at 4468 kg/m3. The raw formation energy is 586 kJ/mol of formula units.

abc: 4.977 5.033 4.977
angles: 90.00 90.00 90.00
Each line ends with the local moment (μB).
Sites, in units of the cell vectors:
Si  0.000  0.000  0.500  0.00
Si  0.500  0.000  0.000  0.02
Hf  0.000  0.000  0.000  0.09
Fe  0.500  0.500  0.500  3.21
Sc  0.000  0.500  0.000  0.01

---

No. 19
Compound: HfScFe2Sn
Source: the Alexandria database
Functional: PBE
Structure: optimized geometry

The space group is P4/mmm, No. 123. The calculation puts the density at 7006 kg/m3. The formation energy is 1.28 eV per atom.

abc: 4.618 5.043 4.618
angles: 90.00 90.00 90.00
Each line ends with the local moment (μB).
Sites, in units of the cell vectors:
Fe  0.000  0.000  0.500  0.06
Fe  0.500  0.000  0.000  0.04
Sn  0.000  0.000  0.000  0.01
Hf  0.500  0.500  0.500  0.25
Sc  0.000  0.500  0.000  0.22

---

No. 20
Compound: HfScFe2W
Source: the Alexandria database
Functional: PBE
Structure: optimized geometry

The space group is P4/mmm, No. 123. The calculation puts the density at 10100 kg/m3. The formation energy is 1.71 eV per atom.

abc: 4.203 4.203 4.830
angles: 90.00 90.00 90.00
Sites, in units of the cell vectors:
Sc  0.000  0.000  0.000
Fe  0.000  0.500  0.000
Fe  0.500  0.000  0.000
W  0.500  0.500  0.500
Hf  0.000  0.000  0.500

---

What are the Fermi-level density of states values for these records? In order: 1.266 0.981 1.557 1.169 0.899 0.749 0.763 0.926 1.030 0.479 0.247 0.697 1.699 0.726 1.707 0.499 0.723 1.052 1.693 1.712 states/eV/atom.